LiSI3 after structural relaxation, computed with GGA-PBE.

Cell: 5.518 5.518 5.518 Å, 90.00 90.00 90.00°
Space group Pm-3m (No. 221)
One atom of each set of equivalent atoms:
Li  0.000  0.000  0.000 [1 per cell]
S  0.500  0.500  0.500 [1 per cell]
I  0.000  0.000  0.500 [3 per cell]



KNp2O7 after structural relaxation, computed with GGA-PBE.

Cell: 6.342 12.417 4.170 Å, 90.00 90.00 90.00°
Space group Cmmm (No. 65)
One atom of each set of equivalent atoms:
K  0.000  0.000  0.000 [2 per cell]
Np  0.000  0.332  0.500 [4 per cell]
O  0.000  0.328  0.000 [4 per cell]
O  0.000  0.500  0.500 [2 per cell]
O  0.203  0.152  0.500 [8 per cell]



NdGa4Ru3 after structural relaxation, computed with GGA-PBE.

Cell: 8.857 6.712 4.433 Å, 90.00 90.00 90.00°
Space group Pmma (No. 51)
One atom of each set of equivalent atoms:
Nd  0.000  0.000  0.000 [2 per cell]
Ga  0.000  0.292  0.500 [4 per cell]
Ga  0.250  0.293  0.013 [4 per cell]
Ru  0.000  0.500  0.000 [2 per cell]
Ru  0.250  0.000  0.476 [2 per cell]
Ru  0.250  0.500  0.512 [2 per cell]

For the formation energy from the elements, the calculation gives -0.2653 eV per atom.



TlIr2Cl after structural relaxation, computed with GGA-PBE.

Cell: 2.887 4.320 12.330 Å, 90.00 90.00 90.00°
Space group Imm2 (No. 44)
One atom of each set of equivalent atoms:
Tl  0.000  0.000  0.000 [2 per cell]
Ir  0.000  0.000  0.401 [2 per cell]
Ir  0.000  0.500  0.722 [2 per cell]
Cl  0.000  0.500  0.212 [2 per cell]



no.,energy (eV/atom),magnetic moment (μB per cell)
1,-1.8339,3.3
2,-8.6707,2.0
3,-5.8531,0.0
4,-4.7839,0.0